The following is a DFT calculation (PBE-GGA) of a geometry-optimized CsKPt2 structure.

Unit cell a=11.935 b=11.935 c=11.935 alpha=155.82 beta=155.82 gamma=34.46
Fractional coordinates of all 8 atoms:
Cs 0.000 0.000 0.000
Cs 0.750 0.250 0.500
K 0.250 0.750 0.500
K 0.500 0.500 0.000
Pt 0.375 0.199 0.324
Pt 0.801 0.125 0.176
Pt 0.875 0.051 0.676
Pt 0.949 0.625 0.824

Results
Its symmetry is I-42d (122). The excess energy over the best structure of this formula in the dataset is 501 meV/atom. Its crystal system is tetragonal. The density of states at the Fermi level is 0.462 states/eV/atom. The calculation puts the energy of formation from the pure elements at 0.39 eV/atom.

=====

The following is a DFT calculation (PBE-GGA) of a geometry-optimized CsK2Pt2 structure.

Unit cell a=7.406 b=7.406 c=7.406 alpha=137.76 beta=137.76 gamma=61.27
Fractional coordinates of all 5 atoms:
Cs 0.000 0.000 0.000
K 0.250 0.750 0.500
K 0.750 0.250 0.500
Pt 0.400 0.400 0.000
Pt 0.600 0.600 0.000

Results
Its symmetry is I4/mmm (139). The excess energy over the best structure of this formula in the dataset is 0 meV/atom. Its crystal system is tetragonal. The density of states at the Fermi level is 0.025 states/eV/atom. The calculation puts the energy of formation from the pure elements at 0.13 eV/atom.

=====

The following is a DFT calculation (PBE-GGA) of a geometry-optimized CsKPt3 structure.

Unit cell a=5.376 b=5.376 c=5.376 alpha=90.00 beta=90.00 gamma=90.00
Fractional coordinates of all 5 atoms:
Cs 0.000 0.000 0.000
K 0.500 0.500 0.500
Pt 0.000 0.500 0.500
Pt 0.500 0.000 0.500
Pt 0.500 0.500 0.000

Results
Its symmetry is Pm-3m (221). The excess energy over the best structure of this formula in the dataset is 78 meV/atom. Its crystal system is cubic. The density of states at the Fermi level is 0.955 states/eV/atom. The calculation puts the energy of formation from the pure elements at 1.49 eV/atom.

=====

The following is a DFT calculation (PBE-GGA) of a geometry-optimized CsKRb2Pt structure.

Unit cell a=6.733 b=6.733 c=6.844 alpha=90.00 beta=90.00 gamma=90.00
Fractional coordinates of all 5 atoms:
Cs 0.000 0.000 0.000
K 0.500 0.500 0.000
Rb 0.000 0.500 0.500
Rb 0.500 0.000 0.500
Pt 0.000 0.000 0.500

Results
Its symmetry is P4/mmm (123). The excess energy over the best structure of this formula in the dataset is 0 meV/atom. Its crystal system is tetragonal. The density of states at the Fermi level is 0.192 states/eV/atom. The calculation puts the energy of formation from the pure elements at 0.06 eV/atom.

=====

The following is a DFT calculation (PBE-GGA) of a geometry-optimized CsK2RbPt structure.

Unit cell a=6.511 b=6.511 c=6.827 alpha=90.00 beta=90.00 gamma=90.00
Fractional coordinates of all 5 atoms:
Cs 0.000 0.000 0.000
K 0.000 0.500 0.500
K 0.500 0.000 0.500
Rb 0.500 0.500 0.000
Pt 0.000 0.000 0.500

Results
Its symmetry is P4/mmm (123). The excess energy over the best structure of this formula in the dataset is 0 meV/atom. Its crystal system is tetragonal. The density of states at the Fermi level is 0.211 states/eV/atom. The calculation puts the energy of formation from the pure elements at 0.05 eV/atom.

=====

The following is a DFT calculation (PBE-GGA) of a geometry-optimized Cs2KRb6Pt structure.

Unit cell a=10.620 b=10.620 c=10.555 alpha=119.71 beta=119.71 gamma=90.01
Fractional coordinates of all 10 atoms:
Cs 0.249 0.751 0.000
Cs 0.751 0.249 0.000
K 0.000 0.000 0.499
Rb 0.283 0.717 0.500
Rb 0.284 0.284 0.066
Rb 0.285 0.285 0.503
Rb 0.715 0.715 0.496
Rb 0.715 0.715 0.933
Rb 0.717 0.283 0.500
Pt 0.500 0.500 0.499

Results
Its symmetry is Cm (8). Its crystal system is monoclinic. The density of states at the Fermi level is 0.820 states/eV/atom. The calculation puts the energy of formation from the pure elements at 0.04 eV/atom.

=====

The following is a DFT calculation (PBE-GGA) of a geometry-optimized CsKRb2Pt structure.

Unit cell a=6.760 b=6.760 c=6.547 alpha=90.00 beta=90.00 gamma=90.00
Fractional coordinates of all 5 atoms:
Cs 0.000 0.000 0.000
K 0.500 0.500 0.000
Rb 0.000 0.500 0.500
Rb 0.500 0.000 0.500
Pt 0.500 0.500 0.500

Results
Its symmetry is P4/mmm (123). The excess energy over the best structure of this formula in the dataset is 16 meV/atom. Its crystal system is tetragonal. The density of states at the Fermi level is 0.282 states/eV/atom. The calculation puts the energy of formation from the pure elements at 0.07 eV/atom.

=====

The following is a DFT calculation (PBE-GGA) of a geometry-optimized Cs6KRb2Pt structure.

Unit cell a=10.940 b=10.940 c=10.893 alpha=119.81 beta=119.81 gamma=89.95
Fractional coordinates of all 10 atoms:
Cs 0.000 0.000 0.000
Cs 0.001 0.001 0.436
Cs 0.002 0.568 0.003
Cs 0.568 0.002 0.003
Cs 0.569 0.569 0.006
Cs 0.569 0.569 0.570
K 0.284 0.284 0.003
Rb 0.036 0.534 0.503
Rb 0.534 0.036 0.503
Pt 0.785 0.785 0.003

Results
Its symmetry is Cm (8). Its crystal system is monoclinic. The density of states at the Fermi level is 0.850 states/eV/atom. The calculation puts the energy of formation from the pure elements at 0.01 eV/atom.

=====

The following is a DFT calculation (PBE-GGA) of a geometry-optimized CsK2RbPt structure.

Unit cell a=6.521 b=6.521 c=6.727 alpha=90.00 beta=90.00 gamma=90.00
Fractional coordinates of all 5 atoms:
Cs 0.000 0.000 0.000
K 0.000 0.500 0.500
K 0.500 0.000 0.500
Rb 0.500 0.500 0.000
Pt 0.500 0.500 0.500

Results
Its symmetry is P4/mmm (123). The excess energy over the best structure of this formula in the dataset is 17 meV/atom. Its crystal system is tetragonal. The density of states at the Fermi level is 0.281 states/eV/atom. The calculation puts the energy of formation from the pure elements at 0.07 eV/atom.

=====

The following is a DFT calculation (PBE-GGA) of a geometry-optimized CsK2RePt structure.

Unit cell a=6.357 b=6.357 c=5.283 alpha=90.00 beta=90.00 gamma=90.00
Fractional coordinates of all 5 atoms:
Cs 0.000 0.000 0.000
K 0.000 0.500 0.000
K 0.500 0.000 0.000
Re 0.000 0.000 0.500
Pt 0.500 0.500 0.500

Results
Its symmetry is P4/mmm (123). Its crystal system is tetragonal. The density of states at the Fermi level is 0.606 states/eV/atom. The calculation puts the energy of formation from the pure elements at 2.01 eV/atom.

=====

The following is a DFT calculation (PBE-GGA) of a geometry-optimized CsKRuPt2 structure.

Unit cell a=5.000 b=5.000 c=5.685 alpha=90.00 beta=90.00 gamma=90.00
Fractional coordinates of all 5 atoms:
Cs 0.000 0.000 0.000
K 0.500 0.500 0.000
Ru 0.000 0.000 0.500
Pt 0.000 0.500 0.500
Pt 0.500 0.000 0.500

Results
Its symmetry is P4/mmm (123). Its crystal system is tetragonal. The density of states at the Fermi level is 1.052 states/eV/atom. The calculation puts the energy of formation from the pure elements at 0.65 eV/atom.

=====

The following is a DFT calculation (PBE-GGA) of a geometry-optimized CsK2SbPt structure.

Unit cell a=6.344 b=6.344 c=5.136 alpha=90.00 beta=90.00 gamma=90.00
Fractional coordinates of all 5 atoms:
Cs 0.000 0.000 0.000
K 0.000 0.500 0.500
K 0.500 0.000 0.500
Sb 0.500 0.500 0.000
Pt 0.500 0.500 0.500

Results
Its symmetry is P4/mmm (123). The calculation puts the formation energy without anion corrections at -246 meV/atom. Its crystal system is tetragonal. The density of states at the Fermi level is 0.531 states/eV/atom.

=====

The following is a DFT calculation (PBE-GGA) of a geometry-optimized CsKSbPt structure.

Unit cell a=4.604 b=4.604 c=10.397 alpha=102.85 beta=102.85 gamma=60.00
Fractional coordinates of all 4 atoms:
Cs 0.000 0.000 0.000
K 0.167 0.167 0.498
Sb 0.757 0.757 0.269
Pt 0.423 0.423 0.267

Results
Its symmetry is Cm (8). The calculation puts the formation energy without anion corrections at -365 meV/atom. Its crystal system is monoclinic. The density of states at the Fermi level is 0.902 states/eV/atom.

=====

The following is a DFT calculation (PBE-GGA) of a geometry-optimized Cs2KSbPt structure.

Unit cell a=7.010 b=7.010 c=5.083 alpha=90.00 beta=90.00 gamma=90.00
Fractional coordinates of all 5 atoms:
Cs 0.000 0.500 0.000
Cs 0.500 0.000 0.000
K 0.000 0.000 0.500
Sb 0.500 0.500 0.500
Pt 0.500 0.500 0.000

Results
Its symmetry is P4/mmm (123). The calculation puts the formation energy without anion corrections at -172 meV/atom. Its crystal system is tetragonal. The density of states at the Fermi level is 0.604 states/eV/atom.

=====

The following is a DFT calculation (PBE-GGA) of a geometry-optimized CsK2SnPt structure.

Unit cell a=6.363 b=6.363 c=5.184 alpha=90.00 beta=90.00 gamma=90.00
Fractional coordinates of all 5 atoms:
Cs 0.000 0.000 0.000
K 0.000 0.500 0.500
K 0.500 0.000 0.500
Sn 0.500 0.500 0.000
Pt 0.500 0.500 0.500

Results
Its symmetry is P4/mmm (123). Its crystal system is tetragonal. The density of states at the Fermi level is 0.554 states/eV/atom. The calculation puts the energy of formation from the pure elements at -0.17 eV/atom.

=====

The following is a DFT calculation (PBE-GGA) of a geometry-optimized CsK2SrPt structure.

Unit cell a=6.695 b=6.695 c=5.917 alpha=90.00 beta=90.00 gamma=90.00
Fractional coordinates of all 5 atoms:
Cs 0.000 0.000 0.000
K 0.000 0.500 0.500
K 0.500 0.000 0.500
Sr 0.500 0.500 0.000
Pt 0.500 0.500 0.500

Results
Its symmetry is P4/mmm (123). Its crystal system is tetragonal. The density of states at the Fermi level is 0.801 states/eV/atom. The calculation puts the energy of formation from the pure elements at -0.06 eV/atom.

=====

The following is a DFT calculation (PBE-GGA) of a geometry-optimized Cs2KTl2Pt structure.

Unit cell a=9.844 b=9.844 c=9.844 alpha=120.86 beta=78.32 gamma=133.59
Fractional coordinates of all 12 atoms:
Cs 0.185 0.161 0.346
Cs 0.315 0.661 0.977
Cs 0.685 0.339 0.023
Cs 0.815 0.839 0.654
K 0.250 0.750 0.500
K 0.750 0.250 0.500
Tl 0.065 0.819 0.884
Tl 0.435 0.319 0.754
Tl 0.565 0.681 0.246
Tl 0.935 0.181 0.116
Pt 0.250 0.250 0.000
Pt 0.750 0.750 0.000

Results
Its symmetry is Ibam (72). Its crystal system is orthorhombic. The density of states at the Fermi level is 0.595 states/eV/atom. The calculation puts the energy of formation from the pure elements at -0.12 eV/atom.

=====

The following is a DFT calculation (PBE-GGA) of a geometry-optimized CsK2TlPt structure.

Unit cell a=6.434 b=6.434 c=5.366 alpha=90.00 beta=90.00 gamma=90.00
Fractional coordinates of all 5 atoms:
Cs 0.000 0.000 0.000
K 0.000 0.500 0.500
K 0.500 0.000 0.500
Tl 0.500 0.500 0.000
Pt 0.500 0.500 0.500

Results
Its symmetry is P4/mmm (123). The excess energy over the best structure of this formula in the dataset is 0 meV/atom. Its crystal system is tetragonal. The density of states at the Fermi level is 0.592 states/eV/atom. The calculation puts the energy of formation from the pure elements at -0.07 eV/atom.

=====

The following is a DFT calculation (PBE-GGA) of a geometry-optimized Cs2KTl12Pt3 structure.

Unit cell a=9.606 b=9.606 c=9.606 alpha=63.00 beta=63.00 gamma=63.00
Fractional coordinates of all 18 atoms:
Cs 0.084 0.084 0.084
Cs 0.916 0.916 0.916
K 0.500 0.500 0.500
Tl 0.026 0.664 0.664
Tl 0.241 0.241 0.618
Tl 0.241 0.618 0.241
Tl 0.336 0.336 0.974
Tl 0.336 0.974 0.336
Tl 0.382 0.759 0.759
Tl 0.618 0.241 0.241
Tl 0.664 0.026 0.664
Tl 0.664 0.664 0.026
Tl 0.759 0.382 0.759
Tl 0.759 0.759 0.382
Tl 0.974 0.336 0.336
Pt 0.000 0.500 0.500
Pt 0.500 0.000 0.500
Pt 0.500 0.500 0.000

Results
Its symmetry is R-3m (166). Its crystal system is trigonal. The density of states at the Fermi level is 0.816 states/eV/atom. The calculation puts the energy of formation from the pure elements at 0.02 eV/atom.

=====

The following is a DFT calculation (PBE-GGA) of a geometry-optimized Cs2KTlPt structure.

Unit cell a=6.951 b=6.951 c=5.370 alpha=90.00 beta=90.00 gamma=90.00
Fractional coordinates of all 5 atoms:
Cs 0.000 0.500 0.000
Cs 0.500 0.000 0.000
K 0.000 0.000 0.500
Tl 0.500 0.500 0.500
Pt 0.500 0.500 0.000

Results
Its symmetry is P4/mmm (123). The excess energy over the best structure of this formula in the dataset is 0 meV/atom. Its crystal system is tetragonal. The density of states at the Fermi level is 0.412 states/eV/atom. The calculation puts the energy of formation from the pure elements at -0.04 eV/atom.